Record 1
# Ni5Pt3 meta-GGA SCAN PBEsol geometry
# **E_form**: -0.127 eV/atom
data_Ni5Pt3
_cell_length_a 7.190
_cell_length_b 7.376
_cell_length_c 3.698
_cell_angle_alpha 90.00
_cell_angle_beta 90.00
_cell_angle_gamma 90.00
_symmetry_space_group_name_H-M 'C m m m'
_symmetry_Int_Tables_number 65
_symmetry_space_group_name_Hall '-C 2 2'
loop_
_atom_site_label
_atom_site_type_symbol
_atom_site_fract_x
_atom_site_fract_y
_atom_site_fract_z
_atom_site_occupancy
Ni1 Ni 0.000 0.000 0.000 1
Ni2 Ni 0.250 0.000 0.500 1
Ni3 Ni 0.250 0.250 0.000 1
Pt1 Pt 0.000 0.239 0.500 1
Pt2 Pt 0.000 0.500 0.000 1

***

Record 2
# Ni24Pt5 meta-GGA SCAN PBEsol geometry
# **E_form**: 0.004 eV/atom
data_Ni24Pt5
_cell_length_a 8.677
_cell_length_b 8.677
_cell_length_c 8.677
_cell_angle_alpha 90.00
_cell_angle_beta 90.00
_cell_angle_gamma 90.00
_symmetry_space_group_name_H-M 'I -4 3 m'
_symmetry_Int_Tables_number 217
_symmetry_space_group_name_Hall 'I -4 2 3'
loop_
_atom_site_label
_atom_site_type_symbol
_atom_site_fract_x
_atom_site_fract_y
_atom_site_fract_z
_atom_site_occupancy
Ni1 Ni 0.039 0.363 0.363 1
Ni2 Ni 0.093 0.093 0.284 1
Pt1 Pt 0.000 0.000 0.000 1
Pt2 Pt 0.185 0.185 0.815 1

***

Record 3
# Ni3Pt meta-GGA SCAN PBEsol geometry
# **E_form**: 0.094 eV/atom
data_Ni3Pt
_cell_length_a 8.0533
_cell_length_b 8.0533
_cell_length_c 2.5359
_cell_angle_alpha 90.00
_cell_angle_beta 90.00
_cell_angle_gamma 120.00
_symmetry_space_group_name_H-M 'R -3 m'
_symmetry_Int_Tables_number 166
_symmetry_space_group_name_Hall '-R 3 2"'
loop_
_atom_site_label
_atom_site_type_symbol
_atom_site_fract_x
_atom_site_fract_y
_atom_site_fract_z
_atom_site_occupancy
Ni1 Ni 0.0000 0.5000 0.0000 1
Pt1 Pt 0.0000 0.0000 0.0000 1

***

Record 4
# NiPt meta-GGA SCAN PBEsol geometry
# **E_form**: -0.144 eV/atom
data_NiPt
_cell_length_a 7.823
_cell_length_b 2.674
_cell_length_c 7.872
_cell_angle_alpha 90.00
_cell_angle_beta 109.80
_cell_angle_gamma 90.00
_symmetry_space_group_name_H-M 'P 1 m 1'
_symmetry_Int_Tables_number 6
_symmetry_space_group_name_Hall 'P -2y'
loop_
_atom_site_label
_atom_site_type_symbol
_atom_site_fract_x
_atom_site_fract_y
_atom_site_fract_z
_atom_site_occupancy
Ni1 Ni 0.000 0.000 0.000 1
Ni2 Ni 0.001 0.000 0.340 1
Ni3 Ni 0.256 0.500 0.589 1
Ni4 Ni 0.491 0.000 0.508 1
Ni5 Ni 0.499 0.000 0.831 1
Ni6 Ni 0.753 0.500 0.422 1
Pt1 Pt 0.000 0.000 0.656 1
Pt2 Pt 0.240 0.500 0.263 1
Pt3 Pt 0.255 0.500 0.917 1
Pt4 Pt 0.509 0.000 0.185 1
Pt5 Pt 0.737 0.500 0.744 1
Pt6 Pt 0.763 0.500 0.092 1

***

Record 5
# NiPt2 meta-GGA SCAN PBEsol geometry
# **E_form**: 0.186 eV/atom
data_NiPt2
_cell_length_a 3.894
_cell_length_b 3.894
_cell_length_c 2.996
_cell_angle_alpha 90.00
_cell_angle_beta 90.00
_cell_angle_gamma 90.00
_symmetry_space_group_name_H-M 'P 4/m m m'
_symmetry_Int_Tables_number 123
_symmetry_space_group_name_Hall '-P 4 2'
loop_
_atom_site_label
_atom_site_type_symbol
_atom_site_fract_x
_atom_site_fract_y
_atom_site_fract_z
_atom_site_occupancy
Ni1 Ni 0.000 0.000 0.000 1
Pt1 Pt 0.000 0.500 0.500 1

***

Record 6
# NiPt meta-GGA SCAN PBEsol geometry
# **E_form**: -0.107 eV/atom
data_NiPt
_cell_length_a 4.562
_cell_length_b 7.894
_cell_length_c 4.584
_cell_angle_alpha 90.00
_cell_angle_beta 109.89
_cell_angle_gamma 90.00
_symmetry_space_group_name_H-M 'P 1 2 1'
_symmetry_Int_Tables_number 3
_symmetry_space_group_name_Hall 'P 2y'
loop_
_atom_site_label
_atom_site_type_symbol
_atom_site_fract_x
_atom_site_fract_y
_atom_site_fract_z
_atom_site_occupancy
Ni1 Ni 0.000 0.000 0.000 1
Ni2 Ni 0.000 0.152 0.500 1
Ni3 Ni 0.000 0.313 0.000 1
Ni4 Ni 0.000 0.829 0.500 1
Ni5 Ni 0.500 0.156 0.000 1
Ni6 Ni 0.500 0.659 0.500 1
Pt1 Pt 0.000 0.489 0.500 1
Pt2 Pt 0.000 0.666 0.000 1
Pt3 Pt 0.500 0.314 0.500 1
Pt4 Pt 0.500 0.485 0.000 1
Pt5 Pt 0.500 0.832 0.000 1
Pt6 Pt 0.500 0.989 0.500 1

***

Record 7
# Ni3Pt meta-GGA SCAN PBEsol geometry
# **E_form**: -0.037 eV/atom
data_Ni3Pt
_cell_length_a 2.611
_cell_length_b 2.611
_cell_length_c 6.848
_cell_angle_alpha 90.00
_cell_angle_beta 90.00
_cell_angle_gamma 90.00
_symmetry_space_group_name_H-M 'P 4/m m m'
_symmetry_Int_Tables_number 123
_symmetry_space_group_name_Hall '-P 4 2'
loop_
_atom_site_label
_atom_site_type_symbol
_atom_site_fract_x
_atom_site_fract_y
_atom_site_fract_z
_atom_site_occupancy
Ni1 Ni 0.000 0.000 0.000 1
Ni2 Ni 0.500 0.500 0.232 1
Pt1 Pt 0.000 0.000 0.500 1

***

Record 8
# NiPt5 meta-GGA SCAN PBEsol geometry
# **E_form**: -0.006 eV/atom
data_NiPt5
_cell_length_a 4.561
_cell_length_b 2.713
_cell_length_c 14.017
_cell_angle_alpha 90.00
_cell_angle_beta 90.00
_cell_angle_gamma 90.00
_symmetry_space_group_name_H-M 'A m m 2'
_symmetry_Int_Tables_number 38
_symmetry_space_group_name_Hall 'A 2 -2'
loop_
_atom_site_label
_atom_site_type_symbol
_atom_site_fract_x
_atom_site_fract_y
_atom_site_fract_z
_atom_site_occupancy
Ni1 Ni 0.000 0.000 0.000 1
Pt1 Pt 0.000 0.000 0.340 1
Pt2 Pt 0.000 0.000 0.660 1
Pt3 Pt 0.500 0.000 0.110 1
Pt4 Pt 0.500 0.000 0.446 1
Pt5 Pt 0.500 0.000 0.778 1

***

Record 9
# Ni4Pt5 meta-GGA SCAN PBEsol geometry
# **E_form**: -0.108 eV/atom
# **Distance to the lowest polymorph of the same formula**: 2.2 kJ/mol of atoms
data_Ni4Pt5
_cell_length_a 8.402
_cell_length_b 3.723
_cell_length_c 7.971
_cell_angle_alpha 90.00
_cell_angle_beta 108.60
_cell_angle_gamma 90.00
_symmetry_space_group_name_H-M 'C 1 2/m 1'
_symmetry_Int_Tables_number 12
_symmetry_space_group_name_Hall '-C 2y'
loop_
_atom_site_label
_atom_site_type_symbol
_atom_site_fract_x
_atom_site_fract_y
_atom_site_fract_z
_atom_site_occupancy
Ni1 Ni 0.165 0.000 0.056 1
Ni2 Ni 0.166 0.000 0.388 1
Pt1 Pt 0.000 0.500 0.500 1
Pt2 Pt 0.006 0.500 0.838 1
Pt3 Pt 0.175 0.000 0.724 1

***

Record 10
# Ni3Pt4 meta-GGA SCAN PBEsol geometry
# **E_form**: -0.115 eV/atom
data_Ni3Pt4
_cell_length_a 7.0256
_cell_length_b 7.0256
_cell_length_c 6.4947
_cell_angle_alpha 90.00
_cell_angle_beta 90.00
_cell_angle_gamma 120.00
_symmetry_space_group_name_H-M 'R 3'
_symmetry_Int_Tables_number 146
_symmetry_space_group_name_Hall 'R 3'
loop_
_atom_site_label
_atom_site_type_symbol
_atom_site_fract_x
_atom_site_fract_y
_atom_site_fract_z
_atom_site_occupancy
Ni1 Ni 0.1432 0.4305 0.0000 1
Pt1 Pt 0.0000 0.0000 0.0137 1
Pt2 Pt 0.0483 0.8090 0.6616 1